Density functional theory data (PBE+U) for Hg2BMoO after structural relaxation.

Computed properties:
V = 17.904 Å³ per atom
calculated total energy = -3.021 eV/atom

a b c (Å): 4.409 4.606 4.409
angles (deg): 90.00 90.00 90.00
Each line ends with the local moment (μB).
Fractional positions:
Mo: 0.000 0.500 0.000  3.21
B: 0.000 0.000 0.000  -0.17
Hg: 0.000 0.000 0.500  -0.03
Hg: 0.500 0.000 0.000  -0.01
O: 0.500 0.500 0.500  -0.17